# GeMo2NO, optimized geometry, DFT PBE+U
data_GeMo2NO
_chemical_formula_sum 'Ge1 Mo2 N1 O1'
_space_group_name_H-M_alt 'P 4/m m m'
_space_group_IT_number 123
_space_group_name_Hall '-P 4 2'
_cell_length_a 4.2919
_cell_length_b 4.2919
_cell_length_c 3.8272
_cell_angle_alpha 90.00
_cell_angle_beta 90.00
_cell_angle_gamma 90.00
loop_
_atom_site_label
_atom_site_type_symbol
_atom_site_fract_x
_atom_site_fract_y
_atom_site_fract_z
Ge1 Ge 0.0000 0.0000 0.0000
Mo1 Mo 0.0000 0.5000 0.5000
N1 N 0.5000 0.5000 0.5000
O1 O 0.5000 0.5000 0.0000
# theoretical density = 6.937 Mg/m³
# energy = -5.63 eV per atom